A geometry-optimized LiYU2S6 structure, computed with PBE.

Lattice parameters (Å, degrees): 6.1682 6.1682 6.6324 90.00 90.00 90.00
Fractional coordinates of all 10 atoms:
Li1 0.0000 0.0000 0.0000
Y1 0.5000 0.5000 0.0259
U1 0.0000 0.5000 0.4495
U2 0.5000 0.0000 0.4495
S1 0.0000 0.0000 0.6349
S2 0.2400 0.2400 0.2138
S3 0.2400 0.7600 0.2138
S4 0.5000 0.5000 0.6249
S5 0.7600 0.2400 0.2138
S6 0.7600 0.7600 0.2138

## Properties
The value obtained for the density of states at the Fermi level is 1.454 states/eV per atom. The value obtained for the formation energy (no corrections) is -1.15 eV per atom.

***

A geometry-optimized CdFe2Se structure, computed with PBE.

Lattice parameters (Å, degrees): 6.0954 6.0954 6.0954 90.00 90.00 90.00
Fractional coordinates of all 16 atoms:
Cd1 0.0000 0.0000 0.0000
Cd2 0.0000 0.5000 0.5000
Cd3 0.5000 0.0000 0.5000
Cd4 0.5000 0.5000 0.0000
Fe1 0.2500 0.2500 0.2500
Fe2 0.2500 0.2500 0.7500
Fe3 0.2500 0.7500 0.2500
Fe4 0.2500 0.7500 0.7500
Fe5 0.7500 0.2500 0.2500
Fe6 0.7500 0.2500 0.7500
Fe7 0.7500 0.7500 0.2500
Fe8 0.7500 0.7500 0.7500
Se1 0.0000 0.0000 0.5000
Se2 0.0000 0.5000 0.0000
Se3 0.5000 0.0000 0.0000
Se4 0.5000 0.5000 0.5000

## Properties
The value obtained for the density of states at the Fermi level is 0.783 states/eV per atom. The value obtained for the formation energy (no corrections) is 0.68 eV per atom.

***

A geometry-optimized Sr2TlBiS structure, computed with PBE.

Lattice parameters (Å, degrees): 6.3625 6.3625 5.5075 90.00 90.00 90.00
Fractional coordinates of all 5 atoms:
Sr1 0.0000 0.5000 0.0000
Sr2 0.5000 0.0000 0.0000
Tl1 0.0000 0.0000 0.5000
Bi1 0.5000 0.5000 0.0000
S1 0.5000 0.5000 0.5000

## Properties
The value obtained for the density of states at the Fermi level is 0.958 states/eV per atom. The value obtained for the formation energy (no corrections) is -0.12 eV per atom.

***

A geometry-optimized DyY2Sb3 structure, computed with PBE.

Lattice parameters (Å, degrees): 4.3900 6.2042 13.1695 90.00 90.00 90.00
Fractional coordinates of all 12 atoms:
Dy1 0.0000 0.0000 0.0000
Dy2 0.5000 0.5000 0.5000
Y1 0.0000 0.0000 0.3332
Y2 0.0000 0.0000 0.6668
Y3 0.5000 0.5000 0.1668
Y4 0.5000 0.5000 0.8332
Sb1 0.0000 0.5000 0.0000
Sb2 0.0000 0.5000 0.3337
Sb3 0.0000 0.5000 0.6663
Sb4 0.5000 0.0000 0.1663
Sb5 0.5000 0.0000 0.5000
Sb6 0.5000 0.0000 0.8337

## Properties
The value obtained for the density of states at the Fermi level is 0.196 states/eV per atom. The value obtained for the formation energy (no corrections) is -1.15 eV per atom.

***

A geometry-optimized LaTeWSe2 structure, computed with PBE.

Lattice parameters (Å, degrees): 5.5374 5.5374 6.2371 90.00 90.00 90.00
Fractional coordinates of all 5 atoms:
La1 0.0000 0.0000 0.0000
Te1 0.0000 0.0000 0.5000
W1 0.5000 0.5000 0.5000
Se1 0.0000 0.5000 0.0000
Se2 0.5000 0.0000 0.0000

## Properties
The value obtained for the density of states at the Fermi level is 2.134 states/eV per atom. The value obtained for the formation energy (no corrections) is 1.20 eV per atom.

***

A geometry-optimized Ce2Pr2Se7 structure, computed with PBE.

Lattice parameters (Å, degrees): 7.0056 7.0056 7.0279 90.00 90.00 95.32
Fractional coordinates of all 11 atoms:
Ce1 0.2318 0.7682 0.0000
Ce2 0.7682 0.2318 0.0000
Pr1 0.2314 0.2314 0.5000
Pr2 0.7686 0.7686 0.5000
Se1 0.0000 0.0000 0.2389
Se2 0.0000 0.0000 0.7611
Se3 0.0000 0.5000 0.2570
Se4 0.0000 0.5000 0.7430
Se5 0.5000 0.0000 0.2570
Se6 0.5000 0.0000 0.7430
Se7 0.5000 0.5000 0.0000

## Properties
The value obtained for the formation energy (no corrections) is -1.57 eV per atom.

***

A geometry-optimized PrCdAs2 structure, computed with PBE.

Lattice parameters (Å, degrees): 4.3540 4.3540 18.7566 90.00 90.00 120.00
Fractional coordinates of all 12 atoms:
Pr1 0.0000 0.0000 0.0000
Pr2 0.3333 0.6667 0.6667
Pr3 0.6667 0.3333 0.3333
Cd1 0.0000 0.0000 0.5000
Cd2 0.3333 0.6667 0.1667
Cd3 0.6667 0.3333 0.8333
As1 0.0000 0.0000 0.2450
As2 0.0000 0.0000 0.7550
As3 0.3333 0.6667 0.4216
As4 0.3333 0.6667 0.9117
As5 0.6667 0.3333 0.0883
As6 0.6667 0.3333 0.5784

## Properties
The value obtained for the density of states at the Fermi level is 0.794 states/eV per atom. For the energy above the most stable polymorph in this dataset, the calculation gives 60 meV per atom.

***

A geometry-optimized AcTb5PmDy2 structure, computed with PBE.

Lattice parameters (Å, degrees): 9.9414 9.9414 9.9414 126.47 126.47 79.12
Fractional coordinates of all 18 atoms:
Ac1 0.2500 0.2500 0.0000
Ac2 0.7500 0.7500 0.0000
Tb1 0.0000 0.0000 0.0000
Tb2 0.0736 0.5736 0.9003
Tb3 0.1732 0.0736 0.5000
Tb4 0.3268 0.8268 0.9003
Tb5 0.4264 0.3268 0.5000
Tb6 0.5000 0.5000 0.0000
Tb7 0.5736 0.6732 0.5000
Tb8 0.6732 0.1732 0.0997
Tb9 0.8268 0.9264 0.5000
Tb10 0.9264 0.4264 0.0997
Pm1 0.2500 0.7500 0.5000
Pm2 0.7500 0.2500 0.5000
Dy1 0.1147 0.3853 0.5000
Dy2 0.3853 0.8853 0.2706
Dy3 0.6147 0.1147 0.7294
Dy4 0.8853 0.6147 0.5000

## Properties
The value obtained for the density of states at the Fermi level is 1.323 states/eV per atom. Its electronic total energy is -0.3168 Ry/atom.

***

no.,calculated volume (Å³/cell)
1,252.34
2,226.46
3,222.95
4,358.69
5,191.24
6,343.44
7,307.94
8,614.55